No. 1
PuZnCrRh | GGA-PBE | optimized geometry

Spin magnetization = 1.76 μB per cell
Crystal system = cubic
Energy relative to the elements = -3.15 kcal/mol of atoms

Lattice parameters (Å, degrees): 4.542 4.542 4.542 60.00 60.00 60.00
Positions (direct):
Pu (0.000, 0.000, 0.000)
Zn (0.500, 0.500, 0.500)
Cr (0.250, 0.250, 0.250)
Rh (0.750, 0.750, 0.750)

---

No. 2
V3SnH | GGA-PBE | optimized geometry

Spin magnetization = 0.00 μB per cell
Energy = -35.2 eV/f.u.
Crystal system = monoclinic

Lattice parameters (Å, degrees): 5.112 5.112 4.426 114.78 114.78 37.65
Positions (direct):
V (0.000, 0.000, 0.000)
V (0.255, 0.255, 0.743)
V (0.533, 0.533, 0.512)
Sn (0.765, 0.765, 0.248)
H (0.452, 0.452, 0.814)

---

Question: What is the spin magnetization in the first record?
Answer: 1.76 μB per cell

---

Question: Which of these has the lowest spin magnetization?
Answer: V3SnH